Material: Ho6VO12
Method: DFT, PBE with a Hubbard U
State: optimized geometry

Output
* energy: -154.75 eV per cell

```
19
Lattice="-2.674 -2.146 -5.395 -4.280 -2.287 4.160 -2.058 6.046 -0.257" Properties=species:S:1:pos:R:3 pbc="T T T"
O -5.866 -0.596 0.292
O -5.192 2.807 -0.100
O -5.532 2.044 3.503
O -3.146 2.208 -1.784
O -5.061 -2.430 2.393
Ho -2.911 2.721 0.335
Ho -6.101 -1.109 -1.827
Ho -5.306 2.814 -2.392
V 0.000 0.000 0.000
O -3.951 4.042 -3.885
Ho -3.706 -1.201 0.901
O -3.437 5.005 0.618
O -3.898 0.930 1.377
Ho -6.165 1.439 1.310
O -3.481 -0.432 -4.994
O -5.114 0.682 -2.869
Ho -2.847 0.173 -2.802
O -5.575 -3.393 -2.110
O -3.820 -1.195 -1.392
```